(1)
Below is crystalline Rb3PaTl2O8 at its relaxed geometry, with properties calculated at the PBE-GGA level.

Space group = P-3m1 (164)
Magnetization = 2.1 μB/cell
Energy = -77.63 eV per cell
Uncorrected formation energy = -2010 kJ/mol of formula units

Cell: 6.3048 6.3048 8.3797 Å, 90.00 90.00 120.00°
Closest atoms and distances in Å follow each position.
Fractional positions:
1 Rb 0.0000 0.0000 0.0000  12 O 3.41-3.65
2 Rb 0.3333 0.6667 0.6493  1 O 2.73
3 Rb 0.6667 0.3333 0.3507  1 O 2.73
4 Pa 0.0000 0.0000 0.5000  6 O 2.15
5 Tl 0.3333 0.6667 0.2202  4 O 2.06-2.19
6 Tl 0.6667 0.3333 0.7798  4 O 2.06-2.19
7 O 0.1590 0.3181 0.3496  1 Pa 2.15, 1 Tl 2.19
8 O 0.1590 0.8410 0.3496  1 Pa 2.15, 1 Tl 2.19
9 O 0.3181 0.1590 0.6504  1 Pa 2.15, 1 Tl 2.19
10 O 0.3333 0.6667 0.9746  1 Tl 2.06
11 O 0.6667 0.3333 0.0254  1 Tl 2.06
12 O 0.6819 0.8410 0.3496  1 Pa 2.15, 1 Tl 2.19
13 O 0.8410 0.1590 0.6504  1 Pa 2.15, 1 Tl 2.19
14 O 0.8410 0.6819 0.6504  1 Pa 2.15, 1 Tl 2.19


(2)
Below is crystalline SrYFeSe2 at its relaxed geometry, with properties calculated at the PBE-GGA level.

Space group = P4/mmm (123)
Magnetization = 2.8 μB/cell
Energy = -22.17 eV per cell
Uncorrected formation energy = 135 kJ/mol of formula units

Cell: 5.5393 5.5393 4.9896 Å, 90.00 90.00 90.00°
Closest atoms and distances in Å follow each position.
Fractional positions:
1 Sr 0.0000 0.0000 0.0000  2 Fe 2.49, 4 Se 2.77
2 Y 0.5000 0.5000 0.5000  8 Se 3.73, 4 Fe 3.92
3 Fe 0.0000 0.0000 0.5000  2 Sr 2.49
4 Se 0.0000 0.5000 0.0000  2 Sr 2.77
5 Se 0.5000 0.0000 0.0000  2 Sr 2.77


(3)
Below is crystalline DyEr3Al at its relaxed geometry, with properties calculated at the PBE-GGA level.

E above lowest polymorph = 0 meV per atom
Calculated formation energy = -0.150 eV/atom
Space group = C2/m (12)
Magnetization = 0.9 μB/cell
Energy = -45.56 eV per cell

Cell: 6.6529 6.6529 12.3557 Å, 94.99 94.99 30.99°
Closest atoms and distances in Å follow each position.
Fractional positions:
1 Dy 0.2245 0.2245 0.2486  2 Al 3.16, 1 Er 3.44
2 Dy 0.7755 0.7755 0.7514  2 Al 3.16, 1 Er 3.44
3 Er 0.0333 0.0333 0.6942  2 Al 3.15, 5 Er 3.34-3.52, 1 Dy 3.44
4 Er 0.1409 0.1409 0.9502  4 Al 3.08-3.09, 1 Er 3.34
5 Er 0.3646 0.3646 0.5188  9 Er 3.42-3.55, 3 Dy 3.65
6 Er 0.6354 0.6354 0.4812  9 Er 3.42-3.55, 3 Dy 3.65
7 Er 0.8591 0.8591 0.0498  4 Al 3.08-3.09, 1 Er 3.34
8 Er 0.9667 0.9667 0.3058  2 Al 3.15, 5 Er 3.34-3.52, 1 Dy 3.44
9 Al 0.4498 0.4498 0.8781  6 Er 3.08-3.15, 2 Dy 3.16, 1 Al 3.17
10 Al 0.5502 0.5502 0.1219  6 Er 3.08-3.15, 2 Dy 3.16, 1 Al 3.17


What is the magnetization in the third record? 0.9 μB/cell